# GaWSe2

A geometry-optimized GaWSe2 structure (PBE, Alexandria).

Its total energy is -20.89 eV per formula unit. The calculation puts the total moment at 0.00 μB per atom. Its formation energy (no corrections) is 0.514 eV/atom.

The space group is R-3m (No. 166, hexagonal axes) and the conventional cell measures 3.4457, 3.4457 and 24.1287 Å, with angles of 90.00, 90.00 and 120.00 degrees. Symmetry generates all atoms from Ga at (0.0000, 0.0000, 0.0000), W at (0.0000, 0.0000, 0.5000) and Se at (0.0000, 0.0000, 0.3998).


# GaWSe2

A geometry-optimized GaWSe2 structure (PBE, Alexandria).

Its total energy is -23.46 eV per formula unit. The calculation puts the total moment at 0.00 μB per atom. Its formation energy (no corrections) is -0.127 eV/atom.

The space group is R-3m (No. 166, hexagonal axes) and the conventional cell measures 3.2516, 3.2516 and 28.4490 Å, with angles of 90.00, 90.00 and 120.00 degrees. Symmetry generates all atoms from Ga at (0.0000, 0.0000, 0.0000), W at (0.0000, 0.0000, 0.5000) and Se at (0.0000, 0.0000, 0.1050).


# GaW4Se8

A geometry-optimized GaW4Se8 structure (PBE, Alexandria).

Its total energy is -85.63 eV per formula unit. The calculation puts the total moment at 0.00 μB per atom. Its formation energy (no corrections) is -0.224 eV/atom.

The space group is R-3m (No. 166, hexagonal axes) and the conventional cell measures 6.6354, 6.6354 and 24.1901 Å, with angles of 90.00, 90.00 and 120.00 degrees. Symmetry generates all atoms from Ga at (0.0000, 0.0000, 0.0000), W at (0.0000, 0.0000, 0.5000), W at (0.0000, 0.5000, 0.5000), Se at (0.0000, 0.0000, 0.2377) and Se at (0.0005, 0.5002, 0.2379).


# Ga4W2Se

A geometry-optimized Ga4W2Se structure (PBE, Alexandria).

Its total energy is -34.49 eV per formula unit. The calculation puts the total moment at 0.00 μB per atom. Its formation energy (no corrections) is 1.001 eV/atom.

The space group is I4/mmm (No. 139) and the conventional cell measures 5.087, 5.087 and 12.867 Å, with angles of 90.00, 90.00 and 90.00 degrees. Symmetry generates all atoms from Ga at (0.000, 0.000, 0.199), Ga at (0.000, 0.500, 0.000), W at (0.000, 0.000, 0.411) and Se at (0.000, 0.000, 0.000).


# ZnGa2WSe

A geometry-optimized ZnGa2WSe structure (PBE, Alexandria).

Its total energy is -17.88 eV per formula unit. The calculation puts the total moment at 0.33 μB per atom. Its formation energy (no corrections) is 1.176 eV/atom.

The space group is P4/mmm (No. 123) and the conventional cell measures 5.144, 5.144 and 4.687 Å, with angles of 90.00, 90.00 and 90.00 degrees. Symmetry generates all atoms from Zn at (0.000, 0.000, 0.000), Ga at (0.000, 0.500, 0.500), W at (0.500, 0.500, 0.000) and Se at (0.500, 0.500, 0.500).


# YGaSe3

A geometry-optimized YGaSe3 structure (PBE, Alexandria).

Its total energy is -22.43 eV per formula unit. The polymorph energy (0 for the lowest one) is 623 meV/atom. The calculation puts the total moment at 0.14 μB per atom. Its formation energy (no corrections) is -0.498 eV/atom.

The space group is Pm-3m (No. 221) and the conventional cell measures 5.509, 5.509 and 5.509 Å, with angles of 90.00, 90.00 and 90.00 degrees. Symmetry generates all atoms from Y at (0.000, 0.000, 0.000), Ga at (0.500, 0.500, 0.500) and Se at (0.000, 0.000, 0.500).


The highest total moment belongs to which entry? ZnGa2WSe


The lowest formation energy (no corrections) belongs to which entry? YGaSe3


Look up the total moment of the sixth one. 0.14 μB per atom